(1)
The following is a DFT calculation (PBE+U) of a relaxed Li3Cr2MoO6 crystal.

Properties
Energy   -160.73 eV/cell

Unit cell a=5.2238 b=9.1956 c=5.1875 alpha=90.00 beta=109.09 gamma=90.00
Last column: nearest neighbours and their distance in Å.
Space group C2/m (No. 12)
Inequivalent atoms, fractional coordinates:
Li 0.0000 0.0000 0.0000  6 O 2.09-2.26
Li 0.0000 0.3241 0.0000  6 O 2.10-2.31
Cr 0.0000 0.1656 0.5000  6 O 2.05
Mo 0.0000 0.5000 0.5000  6 O 2.16
O 0.2229 0.0000 0.7303  2 Cr 2.05, 1 Li 2.09, 1 Mo 2.16
O 0.2459 0.3249 0.7277  2 Cr 2.05, 3 Li 2.10-2.26, 1 Mo 2.16

***

(2)
The following is a DFT calculation (PBE+U) of a relaxed Li2CrMoO4 crystal.

Properties
Energy   -53.37 eV/cell

Unit cell a=5.2140 b=3.0884 c=5.3854 alpha=90.00 beta=110.14 gamma=90.00
Last column: nearest neighbours and their distance in Å.
Space group P2/m (No. 10)
Inequivalent atoms, fractional coordinates:
Li 0.0000 0.0000 0.0000  6 O 2.26-2.30
Li 0.0000 0.5000 0.5000  6 O 2.18-2.19
Cr 0.5000 0.0000 0.5000  6 O 2.05-2.07
Mo 0.5000 0.5000 0.0000  6 O 2.16-2.17
O 0.2681 0.0000 0.7392  1 Cr 2.05, 2 Mo 2.16, 2 Li 2.18
O 0.2741 0.5000 0.2707  2 Cr 2.07, 1 Mo 2.17, 3 Li 2.19-2.26